No. 1
Gd3Os | PBE | relaxed

CIF file:
```
data_Gd3Os
_chemical_formula_sum 'Gd12 Os4'
_cell_length_a 7.4099
_cell_length_b 9.2234
_cell_length_c 6.3739
_cell_angle_alpha 90.00
_cell_angle_beta 90.00
_cell_angle_gamma 90.00
_space_group_name_H-M_alt 'P n m a'
_space_group_IT_number 62
loop_
_space_group_symop_operation_xyz
'x,y,z'
'-x,-y,-z'
'-x+1/2,-y,z+1/2'
'x+1/2,y,-z+1/2'
'x+1/2,-y+1/2,-z+1/2'
'-x+1/2,y+1/2,z+1/2'
'-x,y+1/2,-z'
'x,-y+1/2,z'
loop_
_atom_site_label
_atom_site_fract_x
_atom_site_fract_y
_atom_site_fract_z
Gd1 0.0407 0.2500 0.1339
Gd2 0.1756 0.0640 0.6687
Os1 0.1150 0.7500 0.4562
```

Values from the calculation:
- E_form (kJ per mole of atoms) = -20.97
- theoretical density (g cm⁻³) = 10.09

No. 2
GdOs | PBE | relaxed

CIF file:
```
data_GdOs
_chemical_formula_sum 'Gd2 Os2'
_cell_length_a 4.7940
_cell_length_b 4.7940
_cell_length_c 5.7140
_cell_angle_alpha 90.00
_cell_angle_beta 90.00
_cell_angle_gamma 120.00
_space_group_name_H-M_alt 'P 63/m m c'
_space_group_IT_number 194
_space_group_name_Hall '-P 6c 2c'
loop_
_atom_site_label
_atom_site_fract_x
_atom_site_fract_y
_atom_site_fract_z
Gd1 0.3333 0.6667 0.2500
Os1 0.3333 0.6667 0.7500
```

Values from the calculation:
- E_form (kJ per mole of atoms) = 113.16
- theoretical density (g cm⁻³) = 10.15